Density functional theory data (PBE-GGA) for crystalline Er2AlNi4Ge3 at its relaxed geometry.

a = 4.014 Å, b = 4.014 Å, c = 9.867 Å
α = 90.00°, β = 90.00°, γ = 90.00°
Atoms (fractional coordinates):
Er 0.000 0.500 0.247
Er 0.500 0.000 0.753
Al 0.000 0.000 0.500
Ni 0.000 0.000 0.000
Ni 0.000 0.500 0.635
Ni 0.500 0.000 0.365
Ni 0.500 0.500 0.000
Ge 0.000 0.500 0.870
Ge 0.500 0.000 0.130
Ge 0.500 0.500 0.500

=====

Density functional theory data (PBE-GGA) for crystalline OsRhAu2 at its relaxed geometry.

a = 2.811 Å, b = 2.811 Å, c = 8.179 Å
α = 90.00°, β = 90.00°, γ = 90.00°
Atoms (fractional coordinates):
Os 0.000 0.000 0.000
Rh 0.500 0.500 0.205
Au 0.000 0.000 0.467
Au 0.500 0.500 0.741

Computed properties:
* ΔE to the lowest computed polymorph: 0 meV/atom

=====

Density functional theory data (PBE-GGA) for crystalline Zn2TeAu at its relaxed geometry.

a = 4.139 Å, b = 4.139 Å, c = 6.005 Å
α = 91.21°, β = 91.21°, γ = 58.96°
Atoms (fractional coordinates):
Zn 0.000 0.000 0.000
Zn 0.662 0.662 0.407
Te 0.332 0.332 0.702
Au 0.331 0.331 0.203

Computed properties:
* ΔE_f (raw): -0.10 eV/atom

=====

no.,DFT total energy (eV per atom)
1,-5.69
2,-6.07
3,-2.34